Compound: CrCuC
Source: the Alexandria database
Functional: GGA-PBE
Structure: relaxed

Unit cell a=2.724 b=2.724 c=8.791 alpha=90.00 beta=90.00 gamma=90.00
Element x y z (fractional)
1 Cr 0.000 0.500 0.605
2 Cr 0.500 0.000 0.395
3 C 0.500 0.000 0.640
4 C 0.000 0.500 0.360
5 Cu 0.000 0.500 0.907
6 Cu 0.500 0.000 0.093

Computed properties:
ΔE to the lowest computed polymorph = 11.8 kJ per mole of atoms
Calculated density = 6.5 g/cm3